No. 1
Entry from Alexandria via LeMat-Bulk: a relaxed CoReIr4 crystal (PBEsol).

**Final energy**: -9.3581 eV per atom
**ΔH_f (0 K)**: 4.2 eV per formula unit
**DOS at the Fermi energy**: 8.1 states/eV/f.u.

abc: 5.0214 5.0214 5.0214
angles: 60.00 60.00 60.00
Positions (direct):
Co1 0.0000 0.0000 0.0000
Ir1 0.3747 0.3747 0.3747
Ir2 0.3747 0.3747 0.8759
Ir3 0.8759 0.3747 0.3747
Ir4 0.3747 0.8759 0.3747
Re1 0.7500 0.7500 0.7500

---

No. 2
Entry from Alexandria via LeMat-Bulk: a relaxed CoReIr2 crystal (PBEsol).

**Energy above the most stable polymorph in this dataset**: 0 meV per atom
**Final energy**: -10.2759 eV per atom
**ΔH_f (0 K)**: -0.4 eV per formula unit
**DOS at the Fermi energy**: 4.2 states/eV/f.u.

abc: 2.6834 3.7384 5.3026
angles: 90.00 90.00 90.00
Positions (direct):
Re1 0.5000 0.5000 0.0000
Ir1 0.0000 0.0000 0.7432
Ir2 0.0000 0.0000 0.2568
Co1 0.5000 0.5000 0.5000

---

No. 3
Entry from Alexandria via LeMat-Bulk: a relaxed CoReIr2 crystal (PBEsol).

**Energy above the most stable polymorph in this dataset**: 486 meV per atom
**Final energy**: -9.7901 eV per atom
**ΔH_f (0 K)**: 1.6 eV per formula unit
**DOS at the Fermi energy**: 6.2 states/eV/f.u.

abc: 4.2531 4.2531 4.2531
angles: 60.00 60.00 60.00
Positions (direct):
Re1 0.5000 0.5000 0.5000
Ir1 0.2500 0.2500 0.2500
Ir2 0.7500 0.7500 0.7500
Co1 0.0000 0.0000 0.0000

---

No. 4
Entry from Alexandria via LeMat-Bulk: a relaxed CoReIr2 crystal (PBEsol).

**Energy above the most stable polymorph in this dataset**: 69 meV per atom
**Final energy**: -10.2071 eV per atom
**ΔH_f (0 K)**: -0.1 eV per formula unit
**DOS at the Fermi energy**: 3.4 states/eV/f.u.

abc: 2.6761 4.5906 4.5906
angles: 109.20 90.00 90.00
Positions (direct):
Re1 0.5000 0.0000 0.0000
Ir1 0.0000 0.5000 0.0000
Ir2 0.0000 0.0000 0.5000
Co1 0.5000 0.5000 0.5000

---

No. 5
Entry from Alexandria via LeMat-Bulk: a relaxed Co3ReIr crystal (PBEsol).

**Final energy**: -7.3770 eV per atom
**ΔH_f (0 K)**: 9.5 eV per formula unit
**DOS at the Fermi energy**: 9.4 states/eV/f.u.

abc: 4.2820 4.2820 4.2820
angles: 90.00 90.00 90.00
Positions (direct):
Re1 0.0000 0.0000 0.0000
Ir1 0.5000 0.5000 0.5000
Co1 0.0000 0.5000 0.0000
Co2 0.0000 0.0000 0.5000
Co3 0.5000 0.0000 0.0000

---

No. 6
Entry from Alexandria via LeMat-Bulk: a relaxed Co2IrRh crystal (PBEsol).

**Energy above the most stable polymorph in this dataset**: 25 meV per atom
**Final energy**: -8.3020 eV per atom
**ΔH_f (0 K)**: 0.2 eV per formula unit
**DOS at the Fermi energy**: 4.7 states/eV/f.u.

abc: 2.6329 2.6329 7.0109
angles: 90.00 90.00 90.00
Positions (direct):
Rh1 0.5000 0.5000 0.7612
Ir1 0.0000 0.0000 0.4887
Co1 0.0000 0.0000 0.0149
Co2 0.5000 0.5000 0.2353

---

No. 7
Entry from Alexandria via LeMat-Bulk: a relaxed CoIrRh2 crystal (PBEsol).

**Energy above the most stable polymorph in this dataset**: 33 meV per atom
**Final energy**: -8.4111 eV per atom
**ΔH_f (0 K)**: 0.2 eV per formula unit
**DOS at the Fermi energy**: 5.7 states/eV/f.u.

abc: 2.6457 4.5298 4.5630
angles: 109.09 90.00 90.00
Positions (direct):
Rh1 0.0000 0.0000 0.0000
Rh2 0.5000 0.5000 0.0000
Ir1 0.0000 0.5000 0.5000
Co1 0.5000 0.0000 0.5000

---

No. 8
Entry from Alexandria via LeMat-Bulk: a relaxed Co2IrRh crystal (PBEsol).

**Energy above the most stable polymorph in this dataset**: 15 meV per atom
**Final energy**: -8.3111 eV per atom
**ΔH_f (0 K)**: 0.2 eV per formula unit
**DOS at the Fermi energy**: 5.2 states/eV/f.u.

abc: 2.6078 4.3908 4.3908
angles: 107.17 90.00 90.00
Positions (direct):
Rh1 0.5000 0.5000 0.5000
Ir1 0.5000 0.0000 0.0000
Co1 0.0000 0.5000 0.0000
Co2 0.0000 0.0000 0.5000

---

No. 9
Entry from Alexandria via LeMat-Bulk: a relaxed Co2IrRh crystal (PBEsol).

**Energy above the most stable polymorph in this dataset**: 15 meV per atom
**Final energy**: -8.3116 eV per atom
**ΔH_f (0 K)**: 0.2 eV per formula unit
**DOS at the Fermi energy**: 5.6 states/eV/f.u.

abc: 2.6174 4.3858 4.4730
angles: 100.44 107.01 90.00
Positions (direct):
Rh1 0.7485 0.2434 0.4971
Ir1 0.5031 0.5083 0.0063
Co1 0.9960 0.9943 0.9920
Co2 0.2523 0.7539 0.5046

---

No. 10
Entry from Alexandria via LeMat-Bulk: a relaxed Co2IrRh crystal (PBEsol).

**Energy above the most stable polymorph in this dataset**: 38 meV per atom
**Final energy**: -8.2886 eV per atom
**ΔH_f (0 K)**: 0.3 eV per formula unit
**DOS at the Fermi energy**: 5.3 states/eV/f.u.

abc: 2.6071 3.9121 4.9339
angles: 90.00 105.32 90.00
Positions (direct):
Rh1 0.4233 0.5000 0.8466
Ir1 0.0785 0.0000 0.1571
Co1 0.8147 0.0000 0.6294
Co2 0.6852 0.5000 0.3705

---

No. 11
Entry from Alexandria via LeMat-Bulk: a relaxed Co2IrRh crystal (PBEsol).

**Energy above the most stable polymorph in this dataset**: 42 meV per atom
**Final energy**: -8.2849 eV per atom
**ΔH_f (0 K)**: 0.3 eV per formula unit
**DOS at the Fermi energy**: 5.7 states/eV/f.u.

abc: 2.6195 2.6195 8.3980
angles: 81.03 81.03 60.00
Positions (direct):
Rh1 0.0000 0.0000 0.0000
Ir1 0.5000 0.5000 0.5000
Co1 0.2502 0.2502 0.2493
Co2 0.7498 0.7498 0.7507

---

No. 12
Entry from Alexandria via LeMat-Bulk: a relaxed CoIrRh2 crystal (PBEsol).

**Energy above the most stable polymorph in this dataset**: 29 meV per atom
**Final energy**: -8.4156 eV per atom
**ΔH_f (0 K)**: 0.2 eV per formula unit
**DOS at the Fermi energy**: 4.8 states/eV/f.u.

abc: 2.6539 2.6539 8.6456
angles: 81.17 81.17 60.00
Positions (direct):
Co1 0.5000 0.5000 0.5000
Ir1 0.0000 0.0000 0.0000
Rh1 0.2465 0.2465 0.2604
Rh2 0.7535 0.7535 0.7396